The following is a PBE-GGA calculation of Ac3IrPt3 after structural relaxation, from Alexandria.

```
7
Lattice="-3.891 2.245 0.482 -2.193 -3.654 -0.681 3.156 -1.109 9.467" Properties=species:S:1:pos:R:3 pbc="T T T"
Ir 0.098 -1.562 8.069
Ac -2.929 -2.511 9.233
Ac -1.024 -2.977 5.601
Pt -1.062 -2.372 2.475
Pt -3.027 -0.939 1.114
Ac -1.904 0.455 3.688
Pt -1.865 -0.165 6.893
```

Values from the calculation:
Total energy ... -6.58 eV/atom
Size of the total moment ... 0.00 μB per formula unit
Density of states at the Fermi level ... 0.54 states/eV/atom
ΔE_f ... -0.9623 eV per atom